Computed, not measured: crystalline VSeN2O at its relaxed geometry at the GGA+U level of DFT.

Results
- Fermi-level density of states (states/eV per cell) = 2.19
- total magnetic moment (μB/f.u.) = 0.00
- raw total energy (eV per cell) = -29.421

Lattice parameters (Å, degrees): 3.9944 3.9944 3.5960 90.00 90.00 90.00
Space group P4/mmm (No. 123)
Unique sites:
V 0.0000 0.0000 0.0000 (multiplicity 1)
Se 0.5000 0.5000 0.5000 (multiplicity 1)
N 0.0000 0.5000 0.0000 (multiplicity 2)
O 0.0000 0.0000 0.5000 (multiplicity 1)